No. 1
NaTaCdNi | OQMD | PBE-GGA | relaxed; mass density = 8.96 Mg/m³; total magnetic moment = 0.0 μB per formula unit; E_tot = -4.3312 eV per atom
1.0
1.262 1.383 4.218
0.557 4.495 0.884
-3.017 2.211 2.703
Ni Na Ta Cd
1 1 1 1
direct
0.500 0.500 0.500
0.750 0.750 0.750
0.250 0.250 0.250
0.000 0.000 0.000

No. 2
Na2Cd2O5 | OQMD | PBE-GGA | relaxed; mass density = 4.35 Mg/m³; E_tot = -3.9511 eV per atom
1.0
-1.003 -6.821 2.714
3.015 0.714 2.909
-2.940 1.498 2.678
O Na Cd
5 2 2
direct
0.103 0.000 0.500
0.103 0.500 0.000
0.500 0.500 0.500
0.897 0.000 0.500
0.897 0.500 0.000
0.000 0.000 0.000
0.500 0.000 0.000
0.217 0.500 0.500
0.783 0.500 0.500

No. 3
Na2Cd2O3 | OQMD | PBE-GGA | relaxed; mass density = 4.93 Mg/m³; E_tot = -3.9039 eV per atom
1.0
-1.582 0.930 -6.245
2.981 -4.982 -1.497
-3.869 -3.378 3.538
Cd O Na
4 6 4
direct
0.851 0.127 0.601
0.149 0.627 0.899
0.851 0.373 0.101
0.149 0.873 0.399
0.191 0.961 0.780
0.500 0.000 0.500
0.191 0.539 0.280
0.809 0.461 0.720
0.500 0.500 0.000
0.809 0.039 0.220
0.593 0.666 0.376
0.407 0.334 0.624
0.407 0.166 0.124
0.593 0.834 0.876

No. 4
Na2CdOsO6 | OQMD | PBE-GGA | relaxed; mass density = 5.54 Mg/m³; total magnetic moment = 0.0 μB per formula unit; E_tot = -5.5783 eV per atom
1.0
0.123 -3.793 4.300
-4.886 -2.281 1.952
-1.192 -5.518 -1.009
O Na Cd Os
6 2 1 1
direct
0.272 0.728 0.728
0.272 0.728 0.272
0.728 0.272 0.272
0.728 0.272 0.728
0.728 0.728 0.272
0.272 0.272 0.728
0.750 0.750 0.750
0.250 0.250 0.250
0.000 0.000 0.000
0.500 0.500 0.500

No. 5
Na3Cd2OsO6 | OQMD | PBE-GGA | relaxed; mass density = 6.44 Mg/m³; total magnetic moment = 3.0 μB per formula unit; E_tot = -5.1546 eV per atom
1.0
0.091 1.574 -5.462
-3.623 2.503 3.595
4.885 2.295 1.768
O Cd Na Os
6 2 3 1
direct
0.072 0.363 0.219
0.928 0.637 0.781
0.217 0.217 0.789
0.783 0.783 0.211
0.637 0.928 0.781
0.363 0.072 0.219
0.333 0.667 0.000
0.667 0.333 0.000
0.831 0.169 0.500
0.500 0.500 0.500
0.169 0.831 0.500
0.000 0.000 0.000

No. 6
NaCd4P3O12 | OQMD | PBE-GGA | relaxed; mass density = 4.98 Mg/m³; E_tot = -5.9041 eV per atom
1.0
6.641 0.000 0.000
0.000 15.049 0.000
0.000 0.000 10.113
O Cd Na P
48 16 4 12
direct
0.478 0.103 0.543
0.922 0.837 0.645
0.904 0.014 0.217
0.175 0.954 0.469
0.778 0.642 0.227
0.825 0.454 0.531
0.558 0.250 0.938
0.325 0.454 0.969
0.596 0.986 0.717
0.259 0.250 0.103
0.422 0.837 0.855
0.722 0.358 0.727
0.825 0.046 0.531
0.578 0.163 0.145
0.058 0.250 0.562
0.222 0.358 0.773
0.578 0.337 0.145
0.404 0.014 0.283
0.675 0.954 0.031
0.759 0.250 0.397
0.978 0.397 0.957
0.278 0.642 0.273
0.078 0.163 0.355
0.675 0.546 0.031
0.078 0.337 0.355
0.278 0.858 0.273
0.175 0.546 0.469
0.022 0.897 0.043
0.222 0.142 0.773
0.922 0.663 0.645
0.404 0.486 0.283
0.096 0.514 0.783
0.978 0.103 0.957
0.522 0.897 0.457
0.741 0.750 0.897
0.442 0.750 0.062
0.022 0.603 0.043
0.325 0.046 0.969
0.722 0.142 0.727
0.522 0.603 0.457
0.422 0.663 0.855
0.942 0.750 0.438
0.904 0.486 0.217
0.241 0.750 0.603
0.478 0.397 0.543
0.096 0.986 0.783
0.778 0.858 0.227
0.596 0.514 0.717
0.644 0.405 0.936
0.664 0.109 0.339
0.336 0.891 0.661
0.144 0.095 0.564
0.836 0.891 0.839
0.356 0.595 0.064
0.856 0.595 0.436
0.336 0.609 0.661
0.144 0.405 0.564
0.836 0.609 0.839
0.644 0.095 0.936
0.856 0.905 0.436
0.164 0.109 0.161
0.664 0.391 0.339
0.356 0.905 0.064
0.164 0.391 0.161
0.955 0.250 0.789
0.455 0.250 0.711
0.045 0.750 0.211
0.545 0.750 0.289
0.848 0.931 0.132
0.008 0.750 0.585
0.348 0.569 0.368
0.492 0.250 0.085
0.652 0.069 0.632
0.992 0.250 0.415
0.848 0.569 0.132
0.152 0.431 0.868
0.652 0.431 0.632
0.152 0.069 0.868
0.508 0.750 0.915
0.348 0.931 0.368

No. 7
NaCdPO | OQMD | PBE-GGA | relaxed; mass density = 4.24 Mg/m³; E_tot = -3.5941 eV per atom
1.0
-0.827 -0.155 -3.782
3.873 -6.814 -0.567
-3.958 -2.329 0.961
O Cd P Na
2 2 2 2
direct
0.500 0.872 0.438
0.500 0.128 0.938
0.000 0.235 0.939
0.000 0.765 0.439
0.000 0.440 0.440
0.000 0.560 0.940
0.500 0.151 0.438
0.500 0.849 0.938

No. 8
NaCdPO | OQMD | PBE-GGA | relaxed; mass density = 4.21 Mg/m³; E_tot = -3.0268 eV per atom
1.0
2.893 -2.893 0.000
2.893 2.893 0.000
0.000 0.000 8.600
Cd Na P O
2 2 2 2
direct
0.750 0.750 0.885
0.250 0.250 0.115
0.750 0.250 0.500
0.250 0.750 0.500
0.250 0.250 0.737
0.750 0.750 0.263
0.750 0.250 0.000
0.250 0.750 0.000

- Look up the mass density of the sixth one.
  4.98 Mg/m³

- Which value of mass density does entry 2 give?
  4.35 Mg/m³